DFT (GGA-PBEsol) results for a relaxed structure of NiHgIr2.

Lattice parameters (Å, degrees): 5.396 5.396 2.722 104.53 104.53 120.28
Fractional positions:
Ni1 0.000 0.000 0.000
Hg1 0.500 0.500 0.000
Ir1 0.000 0.500 0.500
Ir2 0.500 0.000 0.500

Calculated values
Space-group type ... No. 12
Fermi-level density of states ... 5.1 states/eV/f.u.
Total DFT energy (no corrections) ... -6.1625 eV per atom
M_tot ... 0.000 μB per atom
Crystal system ... monoclinic